(1)
## PrMg8Zn4 (PBE-GGA)

Data for an optimized crystal structure of PrMg8Zn4.

Unit cell a=7.4446 b=7.4446 c=7.4446 alpha=98.02 beta=98.02 gamma=136.15
Closest atoms and distances in Å follow each position.
Sites, in units of the cell vectors:
Zn  0.0000  0.0000  0.5000  2 Zn 2.78, 8 Mg 2.83-2.96
Zn  0.5000  0.5000  0.5000  2 Zn 2.78, 8 Mg 2.83-2.96
Zn  0.5000  0.0000  0.0000  2 Zn 2.78, 8 Mg 2.83-2.96
Zn  0.0000  0.5000  0.0000  2 Zn 2.78, 8 Mg 2.83-2.96
Mg  0.3467  0.0000  0.3467  4 Zn 2.96, 5 Mg 2.99-3.15
Mg  0.6533  0.0000  0.6533  4 Zn 2.96, 5 Mg 2.99-3.15
Mg  0.0000  0.6533  0.6533  4 Zn 2.96, 5 Mg 2.99-3.15
Mg  0.5000  0.7157  0.2157  4 Zn 2.83, 6 Mg 2.98-3.15
Mg  0.5000  0.2843  0.7843  4 Zn 2.83, 6 Mg 2.98-3.15
Mg  0.0000  0.3467  0.3467  4 Zn 2.96, 5 Mg 2.99-3.15
Mg  0.7157  0.5000  0.2157  4 Zn 2.83, 6 Mg 2.98-3.15
Mg  0.2843  0.5000  0.7843  4 Zn 2.83, 6 Mg 2.98-3.15
Pr  0.0000  0.0000  0.0000  12 Mg 3.39-3.49, 8 Zn 3.72

Values from the calculation:
spin magnetization: 0.002 μB/cell
volume: 20.40 Å³ per atom
VASP energy: -24.3 eV/f.u.
symmetry: I4/mmm (139)


(2)
## Gd2ErHg (PBE-GGA)

Data for an optimized crystal structure of Gd2ErHg.

Unit cell a=6.8823 b=6.8823 c=5.4086 alpha=90.00 beta=90.00 gamma=119.95
Closest atoms and distances in Å follow each position.
Sites, in units of the cell vectors:
Hg  0.3300  0.6700  0.2500  4 Er 3.30-3.44, 8 Gd 3.32-3.48
Hg  0.6700  0.3300  0.7500  4 Er 3.30-3.44, 8 Gd 3.32-3.48
Gd  0.1737  0.3473  0.7500  4 Gd 3.30-3.59, 4 Hg 3.32-3.48, 4 Er 3.32-3.56
Gd  0.8263  0.6527  0.2500  4 Gd 3.30-3.59, 4 Hg 3.32-3.48, 4 Er 3.32-3.56
Gd  0.3473  0.1737  0.2500  4 Gd 3.30-3.59, 4 Hg 3.32-3.48, 4 Er 3.32-3.56
Gd  0.6527  0.8263  0.7500  4 Gd 3.30-3.59, 4 Hg 3.32-3.48, 4 Er 3.32-3.56
Er  0.8290  0.1710  0.2500  4 Hg 3.30-3.44, 8 Gd 3.32-3.56
Er  0.1710  0.8290  0.7500  4 Hg 3.30-3.44, 8 Gd 3.32-3.56

Values from the calculation:
offset from the most stable computed form: 33 meV/atom
spin magnetization: 0.194 μB/cell
volume: 27.75 Å³ per atom
VASP energy: -14.8 eV/f.u.
symmetry: Cmcm (63)
formation energy: -0.16 eV per atom


(3)
## HfZrSi2 (PBE-GGA)

Data for an optimized crystal structure of HfZrSi2.

Unit cell a=3.7940 b=6.9591 c=5.2849 alpha=90.00 beta=90.00 gamma=90.00
Closest atoms and distances in Å follow each position.
Sites, in units of the cell vectors:
Si  0.5000  0.2050  0.1391  2 Si 2.47, 3 Hf 2.71-2.73, 2 Zr 2.74
Si  0.0000  0.7950  0.6391  2 Si 2.47, 3 Hf 2.71-2.73, 2 Zr 2.74
Si  0.5000  0.7094  0.3608  2 Si 2.47, 2 Hf 2.72, 3 Zr 2.74
Si  0.0000  0.2905  0.8608  2 Si 2.47, 2 Hf 2.72, 3 Zr 2.74
Hf  0.0000  0.9262  0.1255  7 Si 2.71-2.90
Hf  0.5000  0.0738  0.6255  7 Si 2.71-2.90
Zr  0.0000  0.4254  0.3746  7 Si 2.74-2.93
Zr  0.5000  0.5746  0.8746  7 Si 2.74-2.93

Values from the calculation:
offset from the most stable computed form: 0 meV/atom
spin magnetization: 0.007 μB/cell
volume: 17.44 Å³ per atom
VASP energy: -32.9 eV/f.u.
symmetry: Pmn2_1 (31)


(4)
## ScBeReTe (PBE-GGA)

Data for an optimized crystal structure of ScBeReTe.

Unit cell a=4.5483 b=4.5483 c=4.5483 alpha=60.00 beta=60.00 gamma=60.00
Closest atoms and distances in Å follow each position.
Sites, in units of the cell vectors:
Be  0.7500  0.7500  0.7500  4 Te 2.79, 4 Sc 2.79
Re  0.2500  0.2500  0.2500  4 Sc 2.79, 4 Te 2.79
Sc  0.5000  0.5000  0.5000  4 Re 2.79, 4 Be 2.79
Te  0.0000  0.0000  0.0000  4 Be 2.79, 4 Re 2.79

Values from the calculation:
offset from the most stable computed form: 199 meV/atom
spin magnetization: 0.003 μB/cell
volume: 16.63 Å³ per atom
VASP energy: -24.1 eV/f.u.
symmetry: F-43m (216)